# 1
Computed, not measured: a relaxed Pm6Ni2PBr3 crystal at the GGA-PBE level of DFT.

a = 7.138 Å, b = 12.319 Å, c = 7.796 Å
α = 90.00°, β = 107.74°, γ = 90.00°
Space group C2/m (No. 12)
Asymmetric unit:
Pm 0.221 0.000 0.198 [4 per cell]
Pm 0.239 0.328 0.199 [8 per cell]
Ni 0.000 0.167 0.000 [4 per cell]
P 0.000 0.500 0.000 [2 per cell]
Br 0.000 0.000 0.500 [2 per cell]
Br 0.000 0.339 0.500 [4 per cell]

Summary:
Energy relative to the elements, uncorrected ... -1002.8 meV/atom

***

# 2
Computed, not measured: a relaxed Y2ScTiH crystal at the GGA-PBE level of DFT.

a = 4.913 Å, b = 4.913 Å, c = 4.328 Å
α = 90.00°, β = 90.00°, γ = 90.00°
Space group P4/mmm (No. 123)
Asymmetric unit:
Y 0.000 0.500 0.000 [2 per cell]
Sc 0.000 0.000 0.500 [1 per cell]
Ti 0.500 0.500 0.500 [1 per cell]
H 0.500 0.500 0.000 [1 per cell]

***

# 3
Computed, not measured: a relaxed CaTb2Y crystal at the GGA-PBE level of DFT.

a = 8.153 Å, b = 8.153 Å, c = 8.153 Å
α = 90.00°, β = 90.00°, γ = 90.00°
Space group Fm-3m (No. 225)
Asymmetric unit:
Ca 0.000 0.000 0.000 [4 per cell]
Tb 0.250 0.250 0.250 [8 per cell]
Y 0.000 0.000 0.500 [4 per cell]

Summary:
DFT formation energy ... 0.16 eV/atom

***

# 4
Computed, not measured: a relaxed CeGdAu crystal at the GGA-PBE level of DFT.

a = 7.149 Å, b = 7.149 Å, c = 7.149 Å
α = 90.00°, β = 90.00°, γ = 90.00°
Space group F-43m (No. 216)
Asymmetric unit:
Ce 0.000 0.000 0.000 [4 per cell]
Gd 0.000 0.000 0.500 [4 per cell]
Au 0.250 0.250 0.750 [4 per cell]

Summary:
DFT formation energy ... -0.29 eV/atom

***

# 5
Computed, not measured: a relaxed CdMoAs2 crystal at the GGA-PBE level of DFT.

a = 3.2273 Å, b = 3.2273 Å, c = 26.6757 Å
α = 90.00°, β = 90.00°, γ = 120.00°
Space group R3m (No. 160, hexagonal axes)
Asymmetric unit:
Cd 0.0000 0.0000 0.0000 [3 per cell]
Mo 0.0000 0.0000 0.8327 [3 per cell]
As 0.0000 0.0000 0.2324 [3 per cell]
As 0.0000 0.0000 0.4326 [3 per cell]

Summary:
DFT formation energy ... -0.03 eV/atom

***

# 6
Computed, not measured: a relaxed ZnFe2Co crystal at the GGA-PBE level of DFT.

a = 2.498 Å, b = 4.030 Å, c = 4.857 Å
α = 90.00°, β = 100.71°, γ = 90.00°
Space group Pm (No. 6)
Asymmetric unit:
Zn 0.000 0.000 0.000 [1 per cell]
Fe 0.298 0.500 0.750 [1 per cell]
Fe 0.536 0.000 0.494 [1 per cell]
Co 0.765 0.500 0.263 [1 per cell]

Summary:
DFT formation energy ... 0.02 eV/atom

***

# 7
Computed, not measured: a relaxed CaPt3 crystal at the GGA-PBE level of DFT.

a = 9.845 Å, b = 2.916 Å, c = 4.972 Å
α = 90.00°, β = 101.36°, γ = 90.00°
Space group C2/m (No. 12)
Asymmetric unit:
Ca 0.000 0.000 0.000 [2 per cell]
Pt 0.000 0.500 0.500 [2 per cell]
Pt 0.242 0.000 0.737 [4 per cell]

Summary:
DFT formation energy ... -0.42 eV/atom

***

# 8
Computed, not measured: a relaxed Mg8HgGe4 crystal at the GGA-PBE level of DFT.

a = 6.582 Å, b = 6.582 Å, c = 6.582 Å
α = 90.00°, β = 90.00°, γ = 90.00°
Space group Pm-3m (No. 221)
Asymmetric unit:
Mg 0.246 0.246 0.246 [8 per cell]
Hg 0.500 0.500 0.500 [1 per cell]
Ge 0.000 0.000 0.000 [1 per cell]
Ge 0.000 0.500 0.500 [3 per cell]

Summary:
DFT formation energy ... -0.19 eV/atom

***

# 9
Computed, not measured: a relaxed CsK2GeI5 crystal at the GGA-PBE level of DFT.

a = 9.937 Å, b = 9.937 Å, c = 17.069 Å
α = 90.00°, β = 90.00°, γ = 90.00°
Space group I4/mcm (No. 140)
Asymmetric unit:
Cs 0.000 0.000 0.250 [4 per cell]
K 0.156 0.344 0.000 [8 per cell]
Ge 0.000 0.500 0.250 [4 per cell]
I 0.000 0.000 0.000 [4 per cell]
I 0.154 0.346 0.360 [16 per cell]

Summary:
Energy relative to the elements, uncorrected ... -1059.7 meV/atom

***

# 10
Computed, not measured: a relaxed Tb3ErMg crystal at the GGA-PBE level of DFT.

a = 12.815 Å, b = 3.666 Å, c = 12.824 Å
α = 90.00°, β = 93.11°, γ = 90.00°
Space group C2/m (No. 12)
Asymmetric unit:
Tb 0.133 0.000 0.476 [4 per cell]
Tb 0.149 0.500 0.939 [4 per cell]
Tb 0.234 0.500 0.261 [4 per cell]
Er 0.036 0.500 0.688 [4 per cell]
Mg 0.061 0.000 0.127 [4 per cell]

Summary:
DFT formation energy ... -0.02 eV/atom

***

# 11
Computed, not measured: a relaxed Pa2CuSb crystal at the GGA-PBE level of DFT.

a = 4.402 Å, b = 4.402 Å, c = 4.588 Å
α = 90.00°, β = 90.00°, γ = 90.00°
Space group P4/mmm (No. 123)
Asymmetric unit:
Pa 0.000 0.500 0.000 [2 per cell]
Cu 0.000 0.000 0.500 [1 per cell]
Sb 0.500 0.500 0.500 [1 per cell]

Summary:
Energy relative to the elements, uncorrected ... -102.1 meV/atom

***

# 12
Computed, not measured: a relaxed Zr2CdOs crystal at the GGA-PBE level of DFT.

a = 4.130 Å, b = 4.130 Å, c = 9.117 Å
α = 90.00°, β = 90.00°, γ = 90.00°
Space group I-4m2 (No. 119)
Asymmetric unit:
Zr 0.000 0.000 0.000 [2 per cell]
Zr 0.000 0.500 0.250 [2 per cell]
Cd 0.000 0.500 0.750 [2 per cell]
Os 0.000 0.000 0.500 [2 per cell]

Summary:
DFT formation energy ... -0.01 eV/atom

***

# 13
Computed, not measured: a relaxed TaGa2CuP crystal at the GGA-PBE level of DFT.

a = 4.324 Å, b = 4.324 Å, c = 5.009 Å
α = 90.00°, β = 90.00°, γ = 90.00°
Space group P4/mmm (No. 123)
Asymmetric unit:
Ta 0.000 0.000 0.000 [1 per cell]
Ga 0.000 0.500 0.500 [2 per cell]
Cu 0.000 0.000 0.500 [1 per cell]
P 0.500 0.500 0.000 [1 per cell]

Summary:
DFT formation energy ... 0.70 eV/atom

***

# 14
Computed, not measured: a relaxed BeZnI2 crystal at the GGA-PBE level of DFT.

a = 7.372 Å, b = 7.372 Å, c = 7.372 Å
α = 90.00°, β = 90.00°, γ = 90.00°
Space group Fm-3m (No. 225)
Asymmetric unit:
Be 0.000 0.000 0.000 [4 per cell]
Zn 0.000 0.000 0.500 [4 per cell]
I 0.250 0.250 0.250 [8 per cell]

Summary:
Energy relative to the elements, uncorrected ... 588.1 meV/atom

***

# 15
Computed, not measured: a relaxed Dy5InRh2 crystal at the GGA-PBE level of DFT.

a = 7.769 Å, b = 7.769 Å, c = 13.530 Å
α = 90.00°, β = 90.00°, γ = 90.00°
Space group I4/mcm (No. 140)
Asymmetric unit:
Dy 0.000 0.000 0.000 [4 per cell]
Dy 0.160 0.340 0.135 [16 per cell]
In 0.000 0.000 0.250 [4 per cell]
Rh 0.139 0.361 0.500 [8 per cell]

Summary:
DFT formation energy ... -0.63 eV/atom

***

# 16
Computed, not measured: a relaxed SnSbRu crystal at the GGA-PBE level of DFT.

a = 4.532 Å, b = 4.532 Å, c = 6.398 Å
α = 90.00°, β = 90.00°, γ = 90.00°
Space group P4_2/mmc (No. 131)
Asymmetric unit:
Sn 0.000 0.000 0.250 [2 per cell]
Sb 0.500 0.500 0.250 [2 per cell]
Ru 0.000 0.500 0.000 [2 per cell]

Summary:
Energy relative to the elements, uncorrected ... -93.8 meV/atom

***

# 17
Computed, not measured: a relaxed Mn3SnH crystal at the GGA-PBE level of DFT.

a = 4.505 Å, b = 17.709 Å, c = 4.126 Å
α = 90.00°, β = 90.00°, γ = 90.00°
Space group Cmcm (No. 63)
Asymmetric unit:
Mn 0.000 0.000 0.000 [4 per cell]
Mn 0.250 0.219 0.250 [8 per cell]
Sn 0.000 0.139 0.750 [4 per cell]
H 0.000 0.353 0.750 [4 per cell]

***

# 18
Computed, not measured: a relaxed KCoHg crystal at the GGA-PBE level of DFT.

a = 7.798 Å, b = 7.798 Å, c = 7.798 Å
α = 90.00°, β = 90.00°, γ = 90.00°
Space group F-43m (No. 216)
Asymmetric unit:
K 0.000 0.000 0.000 [4 per cell]
Co 0.250 0.250 0.250 [4 per cell]
Hg 0.250 0.250 0.750 [4 per cell]

Summary:
DFT formation energy ... 1.08 eV/atom

***

# 19
Computed, not measured: a relaxed TmZrAsO2 crystal at the GGA-PBE level of DFT.

a = 3.673 Å, b = 3.673 Å, c = 11.765 Å
α = 90.00°, β = 90.00°, γ = 90.00°
Space group I4mm (No. 107)
Asymmetric unit:
Tm 0.000 0.000 0.000 [2 per cell]
Zr 0.000 0.000 0.700 [2 per cell]
As 0.000 0.000 0.342 [2 per cell]
O 0.000 0.500 0.105 [4 per cell]

Summary:
Energy relative to the elements, uncorrected ... -2570.7 meV/atom

***

# 20
Computed, not measured: a relaxed B3MoP crystal at the GGA-PBE level of DFT.

a = 3.789 Å, b = 3.789 Å, c = 3.789 Å
α = 90.00°, β = 90.00°, γ = 90.00°
Space group Pm-3m (No. 221)
Asymmetric unit:
B 0.000 0.000 0.500 [3 per cell]
Mo 0.500 0.500 0.500 [1 per cell]
P 0.000 0.000 0.000 [1 per cell]

Summary:
DFT formation energy ... 1.54 eV/atom

***

# 21
Computed, not measured: a relaxed LaDyLu crystal at the GGA-PBE level of DFT.

a = 5.6757 Å, b = 5.6757 Å, c = 3.4650 Å
α = 90.00°, β = 90.00°, γ = 120.00°
Space group P-6m2 (No. 187)
Asymmetric unit:
La 0.0000 0.0000 0.0000 [1 per cell]
Dy 0.6667 0.3333 0.5000 [1 per cell]
Lu 0.3333 0.6667 0.0000 [1 per cell]

Summary:
DFT formation energy ... 0.09 eV/atom

***

# 22
Computed, not measured: a relaxed LiV3Pt crystal at the GGA-PBE level of DFT.

a = 4.838 Å, b = 4.838 Å, c = 4.838 Å
α = 90.00°, β = 90.00°, γ = 90.00°
Space group Pm-3m (No. 221)
Asymmetric unit:
Li 0.000 0.000 0.000 [1 per cell]
V 0.000 0.500 0.500 [3 per cell]
Pt 0.500 0.500 0.500 [1 per cell]

Summary:
DFT formation energy ... 0.97 eV/atom

***

# 23
Computed, not measured: a relaxed AlCd2CoHg crystal at the GGA-PBE level of DFT.

a = 5.185 Å, b = 5.185 Å, c = 4.573 Å
α = 90.00°, β = 90.00°, γ = 90.00°
Space group P4/mmm (No. 123)
Asymmetric unit:
Al 0.000 0.000 0.000 [1 per cell]
Cd 0.000 0.500 0.000 [2 per cell]
Co 0.000 0.000 0.500 [1 per cell]
Hg 0.500 0.500 0.500 [1 per cell]

Summary:
DFT formation energy ... 0.62 eV/atom

***

# 24
Computed, not measured: a relaxed AlTcGe crystal at the GGA-PBE level of DFT.

a = 4.578 Å, b = 8.257 Å, c = 4.615 Å
α = 90.00°, β = 90.00°, γ = 90.00°
Space group Cmcm (No. 63)
Asymmetric unit:
Al 0.000 0.084 0.250 [4 per cell]
Tc 0.000 0.247 0.750 [4 per cell]
Ge 0.000 0.407 0.250 [4 per cell]

Summary:
DFT formation energy ... -0.41 eV/atom

***

# 25
Computed, not measured: a relaxed V2CuW crystal at the GGA-PBE level of DFT.

a = 6.058 Å, b = 6.058 Å, c = 6.058 Å
α = 90.00°, β = 90.00°, γ = 90.00°
Space group Fm-3m (No. 225)
Asymmetric unit:
V 0.250 0.250 0.250 [8 per cell]
Cu 0.000 0.000 0.000 [4 per cell]
W 0.000 0.000 0.500 [4 per cell]

Summary:
DFT formation energy ... 0.15 eV/atom

***

# 26
Computed, not measured: a relaxed PtAu crystal at the GGA-PBE level of DFT.

a = 4.1538 Å, b = 4.1538 Å, c = 5.3070 Å
α = 90.00°, β = 90.00°, γ = 120.00°
Space group P6_3/mmc (No. 194)
Asymmetric unit:
Pt 0.0000 0.0000 0.0000 [2 per cell]
Au 0.3333 0.6667 0.2500 [2 per cell]

Summary:
DFT formation energy ... 0.38 eV/atom

***

E, respectively: -5.211, -6.124, -4.269, -8.055, -5.293, -6.304, -5.455, -2.610, -2.773, -4.027, -6.905, -7.325, -4.783, -1.437, -5.682, -5.894, -6.174, -1.757, -8.088, -5.712, -4.597, -6.096, -1.977, -6.648, -8.672, -4.280 eV/atom.